No. 1
This record from the Alexandria database describes an optimized crystal structure of CaMnNO2. The functional is PBE+U.

Unit cell a=3.938 b=3.938 c=3.717 alpha=90.00 beta=90.00 gamma=90.00
Space group P4/mmm (No. 123)
Unique sites:
1 Ca 0.000 0.000 0.000 x1
2 Mn 0.500 0.500 0.500 x1
3 N 0.500 0.500 0.000 x1
4 O 0.000 0.500 0.500 x2

Summary:
The total energy is -33.47 eV/cell.

No. 2
This record from the Alexandria database describes an optimized crystal structure of CaMnNO2. The functional is PBE+U.

Unit cell a=4.333 b=4.333 c=4.452 alpha=90.00 beta=90.00 gamma=90.00
Space group P4/mmm (No. 123)
Unique sites:
1 Ca 0.000 0.000 0.000 x1
2 Mn 0.500 0.500 0.500 x1
3 N 0.000 0.000 0.500 x1
4 O 0.000 0.500 0.000 x2

Summary:
The total energy is -26.98 eV/cell.